CrSnH2 | GGA-PBE | optimized geometry

Calculated values
**Density**: 5.76 g/cm3
**DFT total energy**: -19.02 eV per formula unit
**Space-group type**: No. 122
**Excess energy over the best structure of this formula in the dataset**: 0.0000 eV per atom

a = 4.5887 Å, b = 4.5887 Å, c = 5.7341 Å
α = 66.41°, β = 66.41°, γ = 90.00°
Closest atoms and distances in Å follow each position.
Fractional positions:
Cr 0.5000 0.5000 0.0000  4 H 1.70
Cr 0.2500 0.7500 0.5000  4 H 1.70
Sn 0.0000 0.0000 0.0000  4 H 2.51
Sn 0.7500 0.2500 0.5000  4 H 2.51
H 0.4626 0.1250 0.2500  2 Cr 1.70
H 0.2874 0.6250 0.2500  2 Cr 1.70
H 0.3750 0.5374 0.7500  2 Cr 1.70
H 0.8750 0.7126 0.7500  2 Cr 1.70